{"formula": "GeSbOs3", "functional": "GGA-PBE", "state": "relaxed", "total_magnetization_mub_per_cell": 1.42, "dos_at_fermi_per_ev_fu": 6.965, "density_g_cm3": 11.11, "energy_ev_per_atom": -6.0320, "e_above_lowest_polymorph_mev_per_atom": 849, "e_form_raw_ev_per_fu": 12.3, "lattice": [[4.8534, 0.0000, 0.0000], [0.0000, 4.8534, 0.0000], [0.0000, 0.0000, 4.8534]], "species": ["Ge", "Sb", "Os", "Os", "Os"], "fractional_positions": [[0.0000, 0.0000, 0.0000], [0.5000, 0.5000, 0.5000], [0.0000, 0.5000, 0.5000], [0.5000, 0.0000, 0.5000], [0.5000, 0.5000, 0.0000]]}

{"formula": "GeSb3Os", "functional": "GGA-PBE", "state": "relaxed", "total_magnetization_mub_per_cell": 1.73, "dos_at_fermi_per_ev_fu": 5.726, "density_g_cm3": 7.65, "energy_ev_per_atom": -4.0115, "e_above_lowest_polymorph_mev_per_atom": 869, "e_form_raw_ev_per_fu": 8.2, "lattice": [[5.1465, 0.0000, 0.0000], [0.0000, 5.1465, 0.0000], [0.0000, 0.0000, 5.1465]], "species": ["Ge", "Sb", "Sb", "Sb", "Os"], "fractional_positions": [[0.0000, 0.0000, 0.0000], [0.0000, 0.0000, 0.5000], [0.0000, 0.5000, 0.0000], [0.5000, 0.0000, 0.0000], [0.5000, 0.5000, 0.5000]]}

{"formula": "GeSbOs2", "functional": "GGA-PBE", "state": "relaxed", "total_magnetization_mub_per_cell": 0.00, "dos_at_fermi_per_ev_fu": 1.812, "density_g_cm3": 14.89, "energy_ev_per_atom": -7.3446, "e_above_lowest_polymorph_mev_per_atom": 0, "e_form_raw_ev_per_fu": 1.8, "lattice": [[0.0000, 3.1763, 3.1763], [3.1763, 0.0000, 3.1763], [3.1763, 3.1763, 0.0000]], "species": ["Ge", "Sb", "Os", "Os"], "fractional_positions": [[0.0000, 0.0000, 0.0000], [0.5000, 0.5000, 0.5000], [0.2500, 0.2500, 0.2500], [0.7500, 0.7500, 0.7500]]}

{"formula": "GeSbOs2", "functional": "GGA-PBE", "state": "relaxed", "total_magnetization_mub_per_cell": 0.00, "dos_at_fermi_per_ev_fu": 4.773, "density_g_cm3": 10.13, "energy_ev_per_atom": -6.8347, "e_above_lowest_polymorph_mev_per_atom": 510, "e_form_raw_ev_per_fu": 3.9, "lattice": [[-2.8472, 2.8472, 5.8115], [2.8472, -2.8472, 5.8115], [2.8472, 2.8472, -5.8115]], "species": ["Ge", "Ge", "Sb", "Sb", "Os", "Os", "Os", "Os"], "fractional_positions": [[0.0000, 0.0000, 0.0000], [0.7500, 0.2500, 0.5000], [0.2500, 0.7500, 0.5000], [0.5000, 0.5000, 0.0000], [0.0997, 0.6250, 0.9747], [0.3750, 0.3497, 0.4747], [0.6503, 0.1250, 0.0253], [0.8750, 0.9003, 0.5253]]}

{"formula": "Ge3SbOs", "functional": "GGA-PBE", "state": "relaxed", "total_magnetization_mub_per_cell": 0.00, "dos_at_fermi_per_ev_fu": 2.748, "density_g_cm3": 7.72, "energy_ev_per_atom": -5.4811, "e_above_lowest_polymorph_mev_per_atom": 0, "e_form_raw_ev_per_fu": 1.8, "lattice": [[4.8476, 0.0000, 0.0000], [0.0000, 4.8476, 0.0000], [0.0000, 0.0000, 4.8476]], "species": ["Ge", "Ge", "Ge", "Sb", "Os"], "fractional_positions": [[0.0000, 0.0000, 0.5000], [0.0000, 0.5000, 0.0000], [0.5000, 0.0000, 0.0000], [0.5000, 0.5000, 0.5000], [0.0000, 0.0000, 0.0000]]}

{"formula": "Si2GeSbOs", "functional": "GGA-PBE", "state": "relaxed", "total_magnetization_mub_per_cell": 0.62, "dos_at_fermi_per_ev_fu": 3.750, "density_g_cm3": 6.33, "energy_ev_per_atom": -5.6075, "e_form_raw_ev_per_fu": 2.8, "lattice": [[4.5341, 0.0000, 0.0000], [0.0000, 4.5341, 0.0000], [0.0000, 0.0000, 5.6278]], "species": ["Si", "Si", "Ge", "Sb", "Os"], "fractional_positions": [[0.0000, 0.5000, 0.0000], [0.5000, 0.0000, 0.0000], [0.0000, 0.0000, 0.5000], [0.5000, 0.5000, 0.5000], [0.5000, 0.5000, 0.0000]]}